Computed, not measured: crystalline Ti2Co4Rh at its relaxed geometry at the PBE-GGA level of DFT.

## Properties
uncorrected energy: -7.55 eV/atom

abc: 3.2413 3.2413 17.3740
angles: 90.00 90.00 90.00
Space group I4/mmm (No. 139)
Symmetry-distinct sites (fractional):
Ti: 0.0000 0.0000 0.0944 x4
Co: 0.0000 0.0000 0.3522 x4
Co: 0.0000 0.5000 0.2500 x4
Rh: 0.0000 0.0000 0.5000 x2

---

Computed, not measured: crystalline Ti7Co4Rh at its relaxed geometry at the PBE-GGA level of DFT.

## Properties
uncorrected energy: -7.69 eV/atom

abc: 11.4151 4.6190 8.3266
angles: 90.00 125.42 90.00
Space group C2/m (No. 12)
Symmetry-distinct sites (fractional):
Ti: 0.0000 0.0000 0.0000 x2
Ti: 0.0621 0.5000 0.3641 x4
Ti: 0.1760 0.0000 0.6310 x4
Ti: 0.2164 0.5000 0.8844 x4
Co: 0.0541 0.0000 0.7700 x4
Co: 0.2134 0.0000 0.3487 x4
Rh: 0.0000 0.5000 0.0000 x2

---

Computed, not measured: crystalline TiCoRh at its relaxed geometry at the PBE-GGA level of DFT.

## Properties
uncorrected energy: -7.81 eV/atom

abc: 3.7201 3.7201 12.0524
angles: 90.00 90.00 90.00
Space group I4/mmm (No. 139)
Symmetry-distinct sites (fractional):
Ti: 0.0000 0.0000 0.1363 x4
Co: 0.0000 0.5000 0.0000 x4
Rh: 0.0000 0.0000 0.3418 x4

---

Computed, not measured: crystalline Ti12Co6Rh at its relaxed geometry at the PBE-GGA level of DFT.

## Properties
uncorrected energy: -7.59 eV/atom

abc: 10.8427 10.8427 9.5145
angles: 90.00 90.00 120.00
Space group R-3 (No. 148, hexagonal axes)
Symmetry-distinct sites (fractional):
Ti: 0.0335 0.8179 0.3908 x18
Ti: 0.0402 0.8184 0.8885 x18
Co: 0.0480 0.7860 0.6474 x18
Rh: 0.0000 0.0000 0.0000 x3

---

Computed, not measured: crystalline Ti4CoRh3 at its relaxed geometry at the PBE-GGA level of DFT.

## Properties
uncorrected energy: -8.24 eV/atom

abc: 2.9605 2.9605 13.2786
angles: 90.00 90.00 90.00
Space group P4/mmm (No. 123)
Symmetry-distinct sites (fractional):
Ti: 0.0000 0.0000 0.1138 x2
Ti: 0.0000 0.0000 0.3701 x2
Co: 0.5000 0.5000 0.0000 x1
Rh: 0.5000 0.5000 0.2399 x2
Rh: 0.5000 0.5000 0.5000 x1

---

Computed, not measured: crystalline Ti4Co3Rh at its relaxed geometry at the PBE-GGA level of DFT.

## Properties
uncorrected energy: -8.00 eV/atom

abc: 4.2652 4.2652 20.8769
angles: 90.00 90.00 120.00
Space group R-3m (No. 166, hexagonal axes)
Symmetry-distinct sites (fractional):
Ti: 0.0000 0.0000 0.1218 x6
Ti: 0.0000 0.0000 0.3720 x6
Co: 0.0000 0.0000 0.0000 x3
Co: 0.0000 0.0000 0.2499 x6
Rh: 0.0000 0.0000 0.5000 x3